No. 1
# PBE-GGA Hf2MnHIr, relaxed
data_Hf2MnHIr
_chemical_formula_sum 'Hf2 Mn1 H1 Ir1'
_space_group_name_H-M_alt 'P 1'
_space_group_IT_number 1
_cell_length_a 4.480
_cell_length_b 4.480
_cell_length_c 3.426
_cell_angle_alpha 90.00
_cell_angle_beta 90.00
_cell_angle_gamma 90.00
loop_
_space_group_symop_operation_xyz
'x,y,z'
loop_
_atom_site_label
_atom_site_type_symbol
_atom_site_fract_x
_atom_site_fract_y
_atom_site_fract_z
Hf1 Hf 0.000 0.500 0.000
Hf2 Hf 0.500 0.000 0.000
Mn1 Mn 0.000 0.000 0.500
H1 H 0.000 0.000 0.000
Ir1 Ir 0.500 0.500 0.500
# Volume   68.8 Å³ per cell


No. 2
# PBE-GGA HfNbHIr2, relaxed
data_HfNbHIr2
_chemical_formula_sum 'Hf1 Nb1 H1 Ir2'
_space_group_name_H-M_alt 'P 1'
_space_group_IT_number 1
_cell_length_a 4.099
_cell_length_b 4.099
_cell_length_c 4.097
_cell_angle_alpha 90.00
_cell_angle_beta 90.00
_cell_angle_gamma 90.00
loop_
_space_group_symop_operation_xyz
'x,y,z'
loop_
_atom_site_label
_atom_site_type_symbol
_atom_site_fract_x
_atom_site_fract_y
_atom_site_fract_z
Hf1 Hf 0.000 0.000 0.000
Nb1 Nb 0.500 0.500 0.000
H1 H 0.500 0.500 0.500
Ir1 Ir 0.000 0.500 0.500
Ir2 Ir 0.500 0.000 0.500
# Volume   68.8 Å³ per cell


No. 3
# PBE-GGA Hf2NbHIr, relaxed
data_Hf2NbHIr
_chemical_formula_sum 'Hf2 Nb1 H1 Ir1'
_space_group_name_H-M_alt 'P 1'
_space_group_IT_number 1
_cell_length_a 4.603
_cell_length_b 4.603
_cell_length_c 3.612
_cell_angle_alpha 90.00
_cell_angle_beta 90.00
_cell_angle_gamma 90.00
loop_
_space_group_symop_operation_xyz
'x,y,z'
loop_
_atom_site_label
_atom_site_type_symbol
_atom_site_fract_x
_atom_site_fract_y
_atom_site_fract_z
Hf1 Hf 0.000 0.500 0.000
Hf2 Hf 0.500 0.000 0.000
Nb1 Nb 0.000 0.000 0.500
H1 H 0.000 0.000 0.000
Ir1 Ir 0.500 0.500 0.500
# Volume   76.5 Å³ per cell


No. 4
# PBE-GGA HfHIrPd2, relaxed
data_HfHIrPd2
_chemical_formula_sum 'Hf1 H1 Ir1 Pd2'
_space_group_name_H-M_alt 'P 1'
_space_group_IT_number 1
_cell_length_a 3.999
_cell_length_b 3.999
_cell_length_c 4.144
_cell_angle_alpha 90.00
_cell_angle_beta 90.00
_cell_angle_gamma 90.00
loop_
_space_group_symop_operation_xyz
'x,y,z'
loop_
_atom_site_label
_atom_site_type_symbol
_atom_site_fract_x
_atom_site_fract_y
_atom_site_fract_z
Hf1 Hf 0.000 0.000 0.000
H1 H 0.500 0.500 0.500
Ir1 Ir 0.500 0.500 0.000
Pd1 Pd 0.000 0.500 0.500
Pd2 Pd 0.500 0.000 0.500
# Energy above the lowest structure with this stoichiometry   0.000 eV/atom
# Volume   66.3 Å³ per cell


No. 5
# PBE-GGA HfHIrPd2, relaxed
data_HfHIrPd2
_chemical_formula_sum 'Hf1 H1 Ir1 Pd2'
_space_group_name_H-M_alt 'P 1'
_space_group_IT_number 1
_cell_length_a 3.910
_cell_length_b 3.910
_cell_length_c 4.356
_cell_angle_alpha 90.00
_cell_angle_beta 90.00
_cell_angle_gamma 90.00
loop_
_space_group_symop_operation_xyz
'x,y,z'
loop_
_atom_site_label
_atom_site_type_symbol
_atom_site_fract_x
_atom_site_fract_y
_atom_site_fract_z
Hf1 Hf 0.000 0.000 0.000
H1 H 0.000 0.000 0.500
Ir1 Ir 0.500 0.500 0.000
Pd1 Pd 0.000 0.500 0.500
Pd2 Pd 0.500 0.000 0.500
# Energy above the lowest structure with this stoichiometry   0.073 eV/atom
# Volume   66.6 Å³ per cell


No. 6
# PBE-GGA HfHIr2Pd, relaxed
data_HfHIr2Pd
_chemical_formula_sum 'Hf1 H1 Ir2 Pd1'
_space_group_name_H-M_alt 'P 1'
_space_group_IT_number 1
_cell_length_a 4.048
_cell_length_b 4.048
_cell_length_c 3.997
_cell_angle_alpha 90.00
_cell_angle_beta 90.00
_cell_angle_gamma 90.00
loop_
_space_group_symop_operation_xyz
'x,y,z'
loop_
_atom_site_label
_atom_site_type_symbol
_atom_site_fract_x
_atom_site_fract_y
_atom_site_fract_z
Hf1 Hf 0.000 0.000 0.000
H1 H 0.500 0.500 0.500
Ir1 Ir 0.000 0.500 0.500
Ir2 Ir 0.500 0.000 0.500
Pd1 Pd 0.500 0.500 0.000
# Energy above the lowest structure with this stoichiometry   0.000 eV/atom
# Volume   65.5 Å³ per cell


The VASP energy results, record by record, are as follows: -0.6465; -0.6353; -0.6523; -0.5224; -0.5171; -0.5734 Ry per atom.